Here is crystalline Ce2AlHg2 at its relaxed geometry from Alexandria. Energies are from GGA-PBE.

## Properties
**Symmetry**: No. 12
**Formation energy from the elements**: -0.254 eV per atom
**Spin magnetization**: 0.190 μB/atom

Unit cell a=4.1390 b=5.8501 c=11.6193 alpha=64.71 beta=79.74 gamma=69.28
With the nearest neighbours (Å) after each atom.
Sites, in units of the cell vectors:
Ce 0.3301 0.8848 0.9549  2 Ce 2.82, 1 Al 3.16
Ce 0.8302 0.3848 0.4549  2 Ce 2.82, 1 Al 3.16
Ce 0.6699 0.1152 0.0451  2 Ce 2.82, 1 Al 3.16
Ce 0.1698 0.6152 0.5451  2 Ce 2.82, 1 Al 3.16
Al 0.2501 0.7500 0.2500  4 Hg 3.07, 6 Ce 3.16-3.17
Al 0.7499 0.2500 0.7500  4 Hg 3.07, 6 Ce 3.16-3.17
Hg 0.4448 0.9544 0.6558  2 Al 3.07, 3 Hg 3.18-3.40, 6 Ce 3.29-3.35
Hg 0.0550 0.5456 0.8442  2 Al 3.07, 3 Hg 3.18-3.40, 6 Ce 3.29-3.35
Hg 0.5552 0.0456 0.3442  2 Al 3.07, 3 Hg 3.18-3.40, 6 Ce 3.29-3.35
Hg 0.9450 0.4544 0.1558  2 Al 3.07, 3 Hg 3.18-3.40, 6 Ce 3.29-3.35

Here is crystalline CrSb2Au at its relaxed geometry from Alexandria. Energies are from GGA-PBE.

## Properties
**Symmetry**: No. 99
**Spin magnetization**: 0.805 μB/atom
**Raw formation energy**: 0.160 eV per atom

Unit cell a=3.9882 b=3.9909 c=5.7313 alpha=90.00 beta=90.00 gamma=90.00
With the nearest neighbours (Å) after each atom.
Sites, in units of the cell vectors:
Au 0.0000 0.0000 0.4008  6 Sb 2.84-2.89
Cr 0.5000 0.5000 0.8516  6 Sb 2.83-2.87
Sb 0.0000 0.0000 0.8969  4 Cr 2.83, 2 Au 2.84-2.89
Sb 0.5000 0.5000 0.3506  4 Au 2.84, 2 Cr 2.86-2.87